(1)
Entry from Alexandria via LeMat-Bulk: an optimized crystal structure of BeZnSnO4 (PBE-GGA).

Properties
- theoretical density (g cm⁻³) = 5.8
- symmetry = Imma (74)
- spin magnetization (μB/cell) = 0.0
- total DFT energy (no corrections) (eV for the cell shown) = -81.276
- formation energy (no corrections) (eV/atom) = -1.686

Cell lengths 5.909, 5.909, 5.909 Å; angles 121.43, 117.89, 90.62 degrees
Fractional coordinates of all 14 atoms:
Be  0.391  0.141  0.250
Be  0.609  0.859  0.750
Zn  0.000  0.000  0.500
Zn  0.000  0.500  0.000
Sn  0.000  0.500  0.500
Sn  0.500  0.500  0.000
O  0.256  0.252  0.496
O  0.256  0.760  0.004
O  0.260  0.749  0.510
O  0.261  0.251  0.010
O  0.739  0.749  0.990
O  0.740  0.251  0.490
O  0.744  0.240  0.996
O  0.744  0.748  0.504

=====

(2)
Entry from Alexandria via LeMat-Bulk: an optimized crystal structure of Be2Zn2SnO6 (PBE-GGA).

Properties
- theoretical density (g cm⁻³) = 4.2
- symmetry = P-3 (147)
- spin magnetization (μB/cell) = 0.0
- total DFT energy (no corrections) (eV for the cell shown) = -63.338
- formation energy (no corrections) (eV/atom) = -1.780

Cell lengths 5.130, 5.130, 6.260 Å; angles 90.00, 90.00, 120.00 degrees
Fractional coordinates of all 11 atoms:
Be  0.333  0.667  0.294
Be  0.667  0.333  0.706
Zn  0.333  0.667  0.734
Zn  0.667  0.333  0.266
Sn  0.000  0.000  0.500
O  0.047  0.695  0.301
O  0.305  0.352  0.301
O  0.352  0.047  0.699
O  0.648  0.953  0.301
O  0.695  0.648  0.699
O  0.953  0.305  0.699

=====

(3)
Entry from Alexandria via LeMat-Bulk: an optimized crystal structure of ZrBeSnO2 (PBE-GGA).

Properties
- theoretical density (g cm⁻³) = 5.3
- symmetry = P4/mmm (123)
- spin magnetization (μB/cell) = 0.0
- total DFT energy (no corrections) (eV for the cell shown) = -26.830
- formation energy (no corrections) (eV/atom) = -0.127

Cell lengths 4.053, 4.053, 4.820 Å; angles 90.00, 90.00, 90.00 degrees
Fractional coordinates of all 5 atoms:
Zr  0.000  0.000  0.000
Be  0.500  0.500  0.000
Sn  0.500  0.500  0.500
O  0.000  0.500  0.500
O  0.500  0.000  0.500

=====

(4)
Entry from Alexandria via LeMat-Bulk: an optimized crystal structure of SrBe3O (PBE-GGA).

Properties
- theoretical density (g cm⁻³) = 1.0
- symmetry = Pm-3m (221)
- spin magnetization (μB/cell) = 0.0
- total DFT energy (no corrections) (eV for the cell shown) = -5.461
- energy above the lowest structure with this stoichiometry (kcal/mol of atoms) = 45.00
- formation energy (no corrections) (eV/atom) = 2.471

Cell lengths 5.922, 5.922, 5.922 Å; angles 90.00, 90.00, 90.00 degrees
Fractional coordinates of all 5 atoms:
Sr  0.000  0.000  0.000
Be  0.000  0.000  0.500
Be  0.000  0.500  0.000
Be  0.500  0.000  0.000
O  0.500  0.500  0.500

=====

(5)
Entry from Alexandria via LeMat-Bulk: an optimized crystal structure of SrBe3O (PBE-GGA).

Properties
- theoretical density (g cm⁻³) = 2.9
- symmetry = Pm-3m (221)
- spin magnetization (μB/cell) = 0.0
- total DFT energy (no corrections) (eV for the cell shown) = -15.219
- energy above the lowest structure with this stoichiometry (kcal/mol of atoms) = 0.00
- formation energy (no corrections) (eV/atom) = 0.520

Cell lengths 4.195, 4.195, 4.195 Å; angles 90.00, 90.00, 90.00 degrees
Fractional coordinates of all 5 atoms:
Sr  0.000  0.000  0.000
Be  0.000  0.500  0.500
Be  0.500  0.000  0.500
Be  0.500  0.500  0.000
O  0.500  0.500  0.500

=====

(6)
Entry from Alexandria via LeMat-Bulk: an optimized crystal structure of SrBeO3 (PBE-GGA).

Properties
- theoretical density (g cm⁻³) = 4.8
- symmetry = Pm-3m (221)
- spin magnetization (μB/cell) = 2.0
- total DFT energy (no corrections) (eV for the cell shown) = -29.102
- formation energy (no corrections) (eV/atom) = -1.764

Cell lengths 3.677, 3.677, 3.677 Å; angles 90.00, 90.00, 90.00 degrees
Fractional coordinates of all 5 atoms:
Sr  0.000  0.000  0.000
Be  0.500  0.500  0.500
O  0.000  0.500  0.500
O  0.500  0.000  0.500
O  0.500  0.500  0.000

=====

(7)
Entry from Alexandria via LeMat-Bulk: an optimized crystal structure of Sr2BeO3 (PBE-GGA).

Properties
- theoretical density (g cm⁻³) = 4.7
- symmetry = Cmce (64)
- spin magnetization (μB/cell) = 0.0
- total DFT energy (no corrections) (eV for the cell shown) = -153.225
- formation energy (no corrections) (eV/atom) = -2.724

Cell lengths 5.935, 5.935, 11.594 Å; angles 90.00, 90.00, 126.94 degrees
Fractional coordinates of all 24 atoms:
Sr  0.058  0.942  0.852
Sr  0.146  0.854  0.423
Sr  0.354  0.646  0.923
Sr  0.442  0.558  0.352
Sr  0.558  0.442  0.648
Sr  0.646  0.354  0.077
Sr  0.854  0.146  0.577
Sr  0.942  0.058  0.148
Be  0.244  0.756  0.669
Be  0.256  0.744  0.169
Be  0.744  0.256  0.831
Be  0.756  0.244  0.331
O  0.019  0.481  0.750
O  0.082  0.918  0.634
O  0.159  0.841  0.052
O  0.341  0.659  0.552
O  0.418  0.582  0.134
O  0.481  0.019  0.250
O  0.519  0.981  0.750
O  0.582  0.418  0.866
O  0.659  0.341  0.448
O  0.841  0.159  0.948
O  0.918  0.082  0.366
O  0.981  0.519  0.250

=====

(8)
Entry from Alexandria via LeMat-Bulk: an optimized crystal structure of Sr5BeO6 (PBE-GGA).

Properties
- theoretical density (g cm⁻³) = 4.5
- symmetry = C2/m (12)
- spin magnetization (μB/cell) = 0.0
- total DFT energy (no corrections) (eV for the cell shown) = -71.332
- formation energy (no corrections) (eV/atom) = -2.454

Cell lengths 6.285, 6.285, 6.177 Å; angles 97.02, 97.02, 121.64 degrees
Fractional coordinates of all 12 atoms:
Sr  0.000  0.000  0.000
Sr  0.177  0.823  0.500
Sr  0.337  0.663  0.000
Sr  0.663  0.337  0.000
Sr  0.823  0.177  0.500
Be  0.500  0.500  0.500
O  0.041  0.390  0.220
O  0.336  0.336  0.654
O  0.390  0.041  0.220
O  0.610  0.959  0.780
O  0.664  0.664  0.346
O  0.959  0.610  0.780

=====

(9)
Entry from Alexandria via LeMat-Bulk: an optimized crystal structure of SrBeO (PBE-GGA).

Properties
- theoretical density (g cm⁻³) = 3.6
- symmetry = Pnma (62)
- spin magnetization (μB/cell) = 0.0
- total DFT energy (no corrections) (eV for the cell shown) = -61.094
- formation energy (no corrections) (eV/atom) = -1.636

Cell lengths 7.719, 3.860, 6.957 Å; angles 90.00, 90.00, 90.00 degrees
Fractional coordinates of all 12 atoms:
Sr  0.163  0.250  0.146
Sr  0.337  0.750  0.646
Sr  0.663  0.250  0.354
Sr  0.837  0.750  0.854
Be  0.023  0.250  0.590
Be  0.477  0.750  0.090
Be  0.523  0.250  0.910
Be  0.977  0.750  0.410
O  0.050  0.250  0.805
O  0.450  0.750  0.305
O  0.550  0.250  0.695
O  0.950  0.750  0.195

=====

(10)
Entry from Alexandria via LeMat-Bulk: an optimized crystal structure of SrBeO3 (PBE-GGA).

Properties
- theoretical density (g cm⁻³) = 2.8
- symmetry = Pm-3m (221)
- spin magnetization (μB/cell) = 2.1
- total DFT energy (no corrections) (eV for the cell shown) = -18.767
- formation energy (no corrections) (eV/atom) = 0.303

Cell lengths 4.434, 4.434, 4.434 Å; angles 90.00, 90.00, 90.00 degrees
Fractional coordinates of all 5 atoms:
Sr  0.000  0.000  0.000
Be  0.500  0.500  0.500
O  0.000  0.000  0.500
O  0.000  0.500  0.000
O  0.500  0.000  0.000

=====

(11)
Entry from Alexandria via LeMat-Bulk: an optimized crystal structure of Sr2TaBeO6 (PBE-GGA).

Properties
- theoretical density (g cm⁻³) = 5.8
- symmetry = P-3m1 (164)
- spin magnetization (μB/cell) = 1.0
- total DFT energy (no corrections) (eV for the cell shown) = -73.533
- formation energy (no corrections) (eV/atom) = -2.484

Cell lengths 5.588, 5.588, 4.878 Å; angles 90.00, 90.00, 120.00 degrees
Fractional coordinates of all 10 atoms:
Sr  0.333  0.667  0.333
Sr  0.667  0.333  0.667
Ta  0.000  0.000  0.000
Be  0.000  0.000  0.500
O  0.156  0.311  0.733
O  0.156  0.844  0.733
O  0.311  0.156  0.267
O  0.689  0.844  0.733
O  0.844  0.156  0.267
O  0.844  0.689  0.267

=====

(12)
Entry from Alexandria via LeMat-Bulk: an optimized crystal structure of Sr2TbBe2O6 (PBE-GGA).

Properties
- theoretical density (g cm⁻³) = 4.8
- symmetry = R-3m (166)
- spin magnetization (μB/cell) = 0.7
- total DFT energy (no corrections) (eV for the cell shown) = -74.695
- formation energy (no corrections) (eV/atom) = -2.682

Cell lengths 6.627, 6.627, 6.627 Å; angles 49.45, 49.45, 49.45 degrees
Fractional coordinates of all 11 atoms:
Sr  0.206  0.206  0.206
Sr  0.794  0.794  0.794
Tb  0.000  0.000  0.000
Be  0.423  0.423  0.423
Be  0.577  0.577  0.577
O  0.258  0.738  0.738
O  0.262  0.262  0.742
O  0.262  0.742  0.262
O  0.738  0.258  0.738
O  0.738  0.738  0.258
O  0.742  0.262  0.262

=====

(13)
Entry from Alexandria via LeMat-Bulk: an optimized crystal structure of SrBeTc2O8 (PBE-GGA).

Properties
- theoretical density (g cm⁻³) = 4.0
- symmetry = C2/m (12)
- spin magnetization (μB/cell) = 2.0
- total DFT energy (no corrections) (eV for the cell shown) = -86.628
- formation energy (no corrections) (eV/atom) = -1.735

Cell lengths 5.054, 5.054, 7.273 Å; angles 93.53, 93.53, 68.72 degrees
Fractional coordinates of all 12 atoms:
Sr  0.000  0.000  0.000
Be  0.000  0.000  0.500
Tc  0.367  0.367  0.715
Tc  0.633  0.633  0.285
O  0.204  0.204  0.544
O  0.216  0.747  0.694
O  0.253  0.784  0.306
O  0.302  0.302  0.943
O  0.698  0.698  0.057
O  0.747  0.216  0.694
O  0.784  0.253  0.306
O  0.796  0.796  0.456

=====

(14)
Entry from Alexandria via LeMat-Bulk: an optimized crystal structure of SrBe4Tc3O12 (PBE-GGA).

Properties
- theoretical density (g cm⁻³) = 4.5
- symmetry = R32 (155)
- spin magnetization (μB/cell) = 7.0
- total DFT energy (no corrections) (eV for the cell shown) = -146.031
- formation energy (no corrections) (eV/atom) = -1.942

Cell lengths 6.379, 6.379, 6.379 Å; angles 105.32, 105.32, 105.32 degrees
Fractional coordinates of all 20 atoms:
Sr  0.000  0.000  0.000
Be  0.063  0.500  0.937
Be  0.500  0.500  0.500
Be  0.500  0.937  0.063
Be  0.937  0.063  0.500
Tc  0.000  0.558  0.442
Tc  0.442  0.000  0.558
Tc  0.558  0.442  0.000
O  0.031  0.625  0.762
O  0.091  0.909  0.500
O  0.238  0.375  0.969
O  0.346  0.654  0.500
O  0.375  0.969  0.238
O  0.500  0.091  0.909
O  0.500  0.346  0.654
O  0.625  0.762  0.031
O  0.654  0.500  0.346
O  0.762  0.031  0.625
O  0.909  0.500  0.091
O  0.969  0.238  0.375

=====

(15)
Entry from Alexandria via LeMat-Bulk: an optimized crystal structure of Sr3Be2TcO8 (PBE-GGA).

Properties
- theoretical density (g cm⁻³) = 4.8
- symmetry = P-3m1 (164)
- spin magnetization (μB/cell) = 1.4
- total DFT energy (no corrections) (eV for the cell shown) = -95.131
- formation energy (no corrections) (eV/atom) = -2.329

Cell lengths 5.386, 5.386, 6.935 Å; angles 90.00, 90.00, 120.00 degrees
Fractional coordinates of all 14 atoms:
Sr  0.000  0.000  0.000
Sr  0.333  0.667  0.679
Sr  0.667  0.333  0.321
Be  0.333  0.667  0.230
Be  0.667  0.333  0.770
Tc  0.000  0.000  0.500
O  0.169  0.338  0.335
O  0.169  0.831  0.335
O  0.333  0.667  0.011
O  0.338  0.169  0.665
O  0.662  0.831  0.335
O  0.667  0.333  0.989
O  0.831  0.169  0.665
O  0.831  0.662  0.665

=====

(16)
Entry from Alexandria via LeMat-Bulk: an optimized crystal structure of SrBe2TeO6 (PBE-GGA).

Properties
- theoretical density (g cm⁻³) = 4.4
- symmetry = C2/c (15)
- spin magnetization (μB/cell) = 0.0
- total DFT energy (no corrections) (eV for the cell shown) = -125.666
- formation energy (no corrections) (eV/atom) = -2.081

Cell lengths 6.320, 6.320, 6.433 Å; angles 97.62, 97.62, 97.74 degrees
Fractional coordinates of all 20 atoms:
Sr  0.103  0.897  0.750
Sr  0.897  0.103  0.250
Be  0.216  0.402  0.809
Be  0.402  0.216  0.309
Be  0.598  0.784  0.691
Be  0.784  0.598  0.191
Te  0.303  0.697  0.250
Te  0.697  0.303  0.750
O  0.007  0.718  0.310
O  0.232  0.624  0.945
O  0.260  0.390  0.262
O  0.282  0.993  0.190
O  0.376  0.768  0.555
O  0.390  0.260  0.762
O  0.610  0.740  0.238
O  0.624  0.232  0.445
O  0.718  0.007  0.810
O  0.740  0.610  0.738
O  0.768  0.376  0.055
O  0.993  0.282  0.690

=====

(17)
Entry from Alexandria via LeMat-Bulk: an optimized crystal structure of SrBe2TeO8 (PBE-GGA).

Properties
- theoretical density (g cm⁻³) = 3.6
- symmetry = P-3m1 (164)
- spin magnetization (μB/cell) = 4.0
- total DFT energy (no corrections) (eV for the cell shown) = -67.981
- formation energy (no corrections) (eV/atom) = -1.337

Cell lengths 5.275, 5.275, 6.895 Å; angles 90.00, 90.00, 120.00 degrees
Fractional coordinates of all 12 atoms:
Sr  0.000  0.000  0.000
Be  0.333  0.667  0.278
Be  0.667  0.333  0.722
Te  0.000  0.000  0.500
O  0.163  0.326  0.324
O  0.163  0.837  0.324
O  0.326  0.163  0.676
O  0.333  0.667  0.037
O  0.667  0.333  0.963
O  0.674  0.837  0.324
O  0.837  0.163  0.676
O  0.837  0.674  0.676

=====

(18)
Entry from Alexandria via LeMat-Bulk: an optimized crystal structure of Sr2BeTeO6 (PBE-GGA).

Properties
- theoretical density (g cm⁻³) = 5.4
- symmetry = Pmmn (59)
- spin magnetization (μB/cell) = 0.0
- total DFT energy (no corrections) (eV for the cell shown) = -122.993
- formation energy (no corrections) (eV/atom) = -2.152

Cell lengths 5.708, 6.982, 6.285 Å; angles 90.00, 90.00, 90.00 degrees
Fractional coordinates of all 20 atoms:
Sr  0.250  0.010  0.196
Sr  0.250  0.490  0.196
Sr  0.750  0.510  0.804
Sr  0.750  0.990  0.804
Be  0.250  0.750  0.630
Be  0.750  0.250  0.370
Te  0.250  0.250  0.721
Te  0.750  0.750  0.279
O  0.010  0.250  0.502
O  0.017  0.250  0.942
O  0.250  0.533  0.745
O  0.250  0.967  0.745
O  0.483  0.250  0.942
O  0.490  0.250  0.502
O  0.510  0.750  0.498
O  0.517  0.750  0.058
O  0.750  0.033  0.255
O  0.750  0.467  0.255
O  0.983  0.750  0.058
O  0.990  0.750  0.498

=====

(19)
Entry from Alexandria via LeMat-Bulk: an optimized crystal structure of SrBeTeO5 (PBE-GGA).

Properties
- theoretical density (g cm⁻³) = 5.1
- symmetry = C2/c (15)
- spin magnetization (μB/cell) = 0.0
- total DFT energy (no corrections) (eV for the cell shown) = -98.019
- formation energy (no corrections) (eV/atom) = -1.959

Cell lengths 5.607, 5.607, 7.295 Å; angles 104.82, 104.82, 105.82 degrees
Fractional coordinates of all 16 atoms:
Sr  0.157  0.843  0.750
Sr  0.843  0.157  0.250
Be  0.196  0.804  0.250
Be  0.804  0.196  0.750
Te  0.500  0.500  0.000
Te  0.500  0.500  0.500
O  0.129  0.268  0.904
O  0.206  0.607  0.389
O  0.268  0.129  0.404
O  0.393  0.794  0.111
O  0.425  0.575  0.750
O  0.575  0.425  0.250
O  0.607  0.206  0.889
O  0.732  0.871  0.596
O  0.794  0.393  0.611
O  0.871  0.732  0.096

=====

(20)
Entry from Alexandria via LeMat-Bulk: an optimized crystal structure of Sr2TiBeO6 (PBE-GGA).

Properties
- theoretical density (g cm⁻³) = 4.4
- symmetry = P-3m1 (164)
- spin magnetization (μB/cell) = 2.0
- total DFT energy (no corrections) (eV for the cell shown) = -68.118
- formation energy (no corrections) (eV/atom) = -2.338

Cell lengths 5.479, 5.479, 4.762 Å; angles 90.00, 90.00, 120.00 degrees
Fractional coordinates of all 10 atoms:
Sr  0.333  0.667  0.300
Sr  0.667  0.333  0.700
Ti  0.000  0.000  0.000
Be  0.000  0.000  0.500
O  0.156  0.313  0.735
O  0.156  0.844  0.735
O  0.313  0.156  0.265
O  0.687  0.844  0.735
O  0.844  0.156  0.265
O  0.844  0.687  0.265